KHg2Sb | PBE | optimized geometry

Output
The calculation puts the volume at 121.6 Å³/cell. The density of states at the Fermi level comes out at 0.66 states/eV/atom.

a b c (Å): 3.341 5.870 6.203
angles (deg): 90.00 90.00 90.00
Element x y z (fractional)
K: 0.000 0.000 0.000
Hg: 0.500 0.000 0.494
Hg: 0.500 0.500 0.278
Sb: 0.500 0.500 0.782

KHgSb4 | PBE | optimized geometry

Output
The calculation puts the volume at 193.7 Å³/cell. The density of states at the Fermi level comes out at 0.71 states/eV/atom. For the distance to the lowest polymorph of the same formula, the calculation gives 0.048 eV per atom.

a b c (Å): 6.494 6.494 6.494
angles (deg): 60.00 60.00 60.00
Element x y z (fractional)
K: 0.000 0.000 0.000
Hg: 0.250 0.250 0.250
Sb: 0.151 0.616 0.616
Sb: 0.616 0.151 0.616
Sb: 0.616 0.616 0.151
Sb: 0.616 0.616 0.616

| no. | E_form (uncorrected) (eV/atom) |
| --- | --- |
| 1 | -0.112 |
| 2 | -0.069 |